(1)
Here is crystalline Te3W at its relaxed geometry from the Alexandria database. Energies are from PBE.

Lattice parameters (Å, degrees): 3.1647 3.1647 11.2943 90.00 90.00 113.99
Atoms (fractional coordinates):
Te1 0.0000 0.0000 0.0567
Te2 0.5000 0.5000 0.7500
Te3 0.0000 0.0000 0.4433
W1 0.5000 0.5000 0.2500

Output
Raw total energy: -5.080 eV per atom
Polymorph energy (0 for the lowest one): 0.406 eV/atom
Size of the total moment: 0.00 μB/cell
Formation energy without anion corrections: 2.058 eV/f.u.

***

(2)
Here is crystalline SrTlF2 at its relaxed geometry from the Alexandria database. Energies are from PBE.

Lattice parameters (Å, degrees): 4.8414 4.8414 4.8414 60.00 60.00 60.00
Atoms (fractional coordinates):
Sr1 0.0000 0.0000 0.0000
Tl1 0.5000 0.5000 0.5000
F1 0.2500 0.2500 0.2500
F2 0.7500 0.7500 0.7500

Output
Raw total energy: -4.018 eV per atom
Polymorph energy (0 for the lowest one): 0.642 eV/atom
Size of the total moment: 0.00 μB/cell
Formation energy without anion corrections: -8.281 eV/f.u.

***

(3)
Here is crystalline Rb3Tl3PbCl8 at its relaxed geometry from the Alexandria database. Energies are from PBE.

Lattice parameters (Å, degrees): 9.2934 9.2909 9.3641 119.72 90.00 120.01
Atoms (fractional coordinates):
Rb1 0.0000 0.0000 0.0000
Rb2 0.0000 0.5000 0.0000
Rb3 0.5000 0.5000 0.0000
Tl1 0.5000 0.0000 0.5000
Tl2 0.5000 0.5000 0.5000
Tl3 0.0000 0.5000 0.5000
Pb1 0.0000 0.0000 0.5000
Cl1 0.2506 0.5012 0.2541
Cl2 0.7494 0.4988 0.7459
Cl3 0.7778 0.5556 0.2786
Cl4 0.2222 0.4444 0.7214
Cl5 0.7777 0.0023 0.2805
Cl6 0.2223 0.9977 0.7195
Cl7 0.2246 0.0023 0.2805
Cl8 0.7754 0.9977 0.7195

Output
Raw total energy: -3.348 eV per atom
Size of the total moment: 0.00 μB/cell
Formation energy without anion corrections: -21.734 eV/f.u.

***

(4)
Here is crystalline Zn2InAg2Au2 at its relaxed geometry from the Alexandria database. Energies are from PBE.

Lattice parameters (Å, degrees): 2.9821 2.9821 17.0360 90.00 90.00 120.00
Atoms (fractional coordinates):
Zn1 0.6667 0.3333 0.5613
Zn2 0.3333 0.6667 0.4387
In1 0.0000 0.0000 0.0000
Ag1 0.0000 0.0000 0.1732
Ag2 0.0000 0.0000 0.8268
Au1 0.6667 0.3333 0.3144
Au2 0.3333 0.6667 0.6856

Output
Energy of formation: 0.016 eV/atom
Raw total energy: -2.491 eV per atom
Size of the total moment: 0.00 μB/cell

***

(5)
Here is crystalline KRh at its relaxed geometry from the Alexandria database. Energies are from PBE.

Lattice parameters (Å, degrees): 4.2848 9.4131 7.3330 90.00 90.00 90.00
Atoms (fractional coordinates):
K1 0.0000 0.0000 0.0000
K2 0.0000 0.5000 0.0000
K3 0.5000 0.5000 0.5000
K4 0.5000 0.0000 0.5000
Rh1 0.0000 0.2500 0.6798
Rh2 0.0000 0.7500 0.3202
Rh3 0.5000 0.7500 0.1798
Rh4 0.5000 0.2500 0.8202

Output
Energy of formation: 0.604 eV/atom
Raw total energy: -3.621 eV per atom
Polymorph energy (0 for the lowest one): 0.235 eV/atom
Size of the total moment: 0.00 μB/cell

***

(6)
Here is crystalline CaLa2Ag2 at its relaxed geometry from the Alexandria database. Energies are from PBE.

Lattice parameters (Å, degrees): 4.6398 4.6398 7.9574 73.05 73.05 90.00
Atoms (fractional coordinates):
Ca1 0.0000 0.0000 0.0000
Ag1 0.4063 0.4063 0.1875
Ag2 0.5937 0.5937 0.8125
La1 0.7500 0.2500 0.5000
La2 0.2500 0.7500 0.5000

Output
Energy of formation: -0.055 eV/atom
Raw total energy: -3.567 eV per atom
Polymorph energy (0 for the lowest one): 0.163 eV/atom
Size of the total moment: 0.00 μB/cell

***

(7)
Here is crystalline MnAs2Ru at its relaxed geometry from the Alexandria database. Energies are from PBE.

Lattice parameters (Å, degrees): 7.8414 7.8414 7.8414 22.01 22.01 22.01
Atoms (fractional coordinates):
As1 0.0003 0.0003 0.0003
As2 0.4997 0.4997 0.4997
Mn1 0.2500 0.2500 0.2500
Ru1 0.7500 0.7500 0.7500

Output
Energy of formation: 0.057 eV/atom
Raw total energy: -6.879 eV per atom
Polymorph energy (0 for the lowest one): 0.161 eV/atom
Size of the total moment: 2.65 μB/cell

***

(8)
Here is crystalline HfNbSb2 at its relaxed geometry from the Alexandria database. Energies are from PBE.

Lattice parameters (Å, degrees): 6.3196 6.3196 8.0132 66.78 66.78 90.00
Atoms (fractional coordinates):
Sb1 0.6165 0.1250 0.2500
Sb2 0.1335 0.6250 0.2500
Sb3 0.3750 0.3835 0.7500
Sb4 0.8750 0.8665 0.7500
Nb1 0.5000 0.5000 0.0000
Nb2 0.2500 0.7500 0.5000
Hf1 0.0000 0.0000 0.0000
Hf2 0.7500 0.2500 0.5000

Output
Raw total energy: -6.498 eV per atom
Polymorph energy (0 for the lowest one): 0.788 eV/atom
Size of the total moment: 3.73 μB/cell
Formation energy without anion corrections: 2.278 eV/f.u.

***

(9)
Here is crystalline CaMg3SiN4 at its relaxed geometry from the Alexandria database. Energies are from PBE.

Lattice parameters (Å, degrees): 10.5632 10.5632 10.5632 114.19 114.19 100.39
Atoms (fractional coordinates):
Ca1 0.1983 0.2377 0.4901
Ca2 0.7476 0.7082 0.5099
Ca3 0.9877 0.9976 0.5394
Ca4 0.4582 0.4483 0.4606
Ca5 0.5517 0.0123 0.0099
Ca6 0.0024 0.5418 0.9901
Ca7 0.7623 0.2524 0.9606
Ca8 0.2918 0.8017 0.0394
Mg1 0.1683 0.3092 0.8724
Mg2 0.4368 0.2959 0.1276
Mg3 0.0592 0.6868 0.6409
Mg4 0.0459 0.4183 0.3591
Mg5 0.5817 0.9408 0.6276
Mg6 0.3132 0.9541 0.3724
Mg7 0.6908 0.5632 0.8591
Mg8 0.7041 0.8317 0.1409
Mg9 0.4505 0.2746 0.8545
Mg10 0.4200 0.5959 0.1455
Mg11 0.0246 0.6700 0.3241
Mg12 0.3459 0.7005 0.6759
Mg13 0.2995 0.9754 0.6455
Mg14 0.3300 0.6541 0.3545
Mg15 0.7254 0.5800 0.1759
Mg16 0.4041 0.5495 0.8241
Mg17 0.9066 0.0914 0.1261
Mg18 0.9654 0.7806 0.8739
Mg19 0.8414 0.2154 0.6848
Mg20 0.5306 0.1566 0.3152
Mg21 0.8434 0.1586 0.3739
Mg22 0.7846 0.4694 0.6261
Mg23 0.9086 0.0346 0.8152
Mg24 0.2194 0.0934 0.1848
Si1 0.0029 0.8618 0.2208
Si2 0.6410 0.7821 0.7792
Si3 0.6118 0.8910 0.3589
Si4 0.5321 0.2529 0.6411
Si5 0.7471 0.3882 0.2792
Si6 0.1090 0.4679 0.7208
Si7 0.1382 0.3590 0.1411
Si8 0.2179 0.9971 0.8589
N1 0.2481 0.1389 0.8105
N2 0.3284 0.4376 0.1895
N3 0.8889 0.5784 0.3908
N4 0.1876 0.4981 0.6092
N5 0.5019 0.1111 0.6895
N6 0.4216 0.8124 0.3105
N7 0.8611 0.6716 0.1092
N8 0.5624 0.7519 0.8908
N9 0.9289 0.9991 0.2699
N10 0.7292 0.6590 0.7301
N11 0.7491 0.9792 0.5702
N12 0.4090 0.1789 0.4298
N13 0.8211 0.2509 0.2301
N14 0.0208 0.5910 0.7699
N15 0.0009 0.2708 0.9298
N16 0.3410 0.0711 0.0702
N17 0.1368 0.8969 0.4150
N18 0.4820 0.7218 0.5850
N19 0.6469 0.7320 0.2601
N20 0.4718 0.3868 0.7399
N21 0.6132 0.3531 0.0850
N22 0.2680 0.5282 0.9150
N23 0.1031 0.5180 0.2399
N24 0.2782 0.8632 0.7601
N25 0.0029 0.2702 0.6253
N26 0.6449 0.3776 0.3747
N27 0.0202 0.8949 0.7673
N28 0.1276 0.2529 0.2327
N29 0.7471 0.9798 0.8747
N30 0.1051 0.8724 0.1253
N31 0.7298 0.3551 0.7327
N32 0.6224 0.9971 0.2673

Output
Raw total energy: -6.070 eV per atom
Size of the total moment: 0.00 μB/cell
Formation energy without anion corrections: -9.119 eV/f.u.

***

(10)
Here is crystalline RbTa2Tl2 at its relaxed geometry from the Alexandria database. Energies are from PBE.

Lattice parameters (Å, degrees): 9.1237 9.1237 3.0110 90.00 90.00 90.00
Atoms (fractional coordinates):
Tl1 0.1840 0.6840 0.5000
Tl2 0.6840 0.8160 0.5000
Tl3 0.8160 0.3160 0.5000
Tl4 0.3160 0.1840 0.5000
Rb1 0.0000 0.0000 0.0000
Rb2 0.5000 0.5000 0.0000
Ta1 0.3959 0.8959 0.0000
Ta2 0.8959 0.6041 0.0000
Ta3 0.6041 0.1041 0.0000
Ta4 0.1041 0.3959 0.0000

Output
Energy of formation: 0.679 eV/atom
Raw total energy: -5.202 eV per atom
Polymorph energy (0 for the lowest one): 0.000 eV/atom
Size of the total moment: 0.00 μB/cell

***

(11)
Here is crystalline BaCr2Mo at its relaxed geometry from the Alexandria database. Energies are from PBE.

Lattice parameters (Å, degrees): 7.2392 7.2392 7.2392 154.78 145.93 42.86
Atoms (fractional coordinates):
Ba1 0.1998 0.6998 0.5000
Cr1 0.9732 0.9732 0.0000
Cr2 0.8632 0.3632 0.5000
Mo1 0.4637 0.4637 0.0000

Output
Energy of formation: 0.946 eV/atom
Raw total energy: -7.055 eV per atom
Polymorph energy (0 for the lowest one): 0.176 eV/atom
Size of the total moment: 0.58 μB/cell

***

(12)
Here is crystalline Zn2InTc at its relaxed geometry from the Alexandria database. Energies are from PBE.

Lattice parameters (Å, degrees): 2.8683 2.8683 8.5796 90.00 90.00 90.14
Atoms (fractional coordinates):
In1 0.5000 0.5000 0.2500
Tc1 0.5000 0.5000 0.7500
Zn1 0.0000 0.0000 0.9591
Zn2 0.0000 0.0000 0.5409

Output
Energy of formation: 0.260 eV/atom
Raw total energy: -3.653 eV per atom
Size of the total moment: 1.05 μB/cell

***

(13)
Here is crystalline Nb3ZnCo8 at its relaxed geometry from the Alexandria database. Energies are from PBE.

Lattice parameters (Å, degrees): 4.7285 4.7285 8.2019 73.25 73.25 60.00
Atoms (fractional coordinates):
Nb1 0.3791 0.3791 0.8628
Nb2 0.9943 0.9943 0.0170
Nb3 0.5048 0.5048 0.4856
Zn1 0.8723 0.8723 0.3831
Co1 0.9422 0.4360 0.1857
Co2 0.4365 0.9366 0.6903
Co3 0.4360 0.4360 0.1857
Co4 0.9366 0.9366 0.6903
Co5 0.1880 0.1880 0.4359
Co6 0.6875 0.6875 0.9374
Co7 0.4360 0.9422 0.1857
Co8 0.9366 0.4365 0.6903

Output
Energy of formation: -0.138 eV/atom
Raw total energy: -7.498 eV per atom
Size of the total moment: 0.01 μB/cell

***

(14)
Here is crystalline Li2TcPtBr at its relaxed geometry from the Alexandria database. Energies are from PBE.

Lattice parameters (Å, degrees): 4.8680 4.8997 4.8680 90.00 90.00 90.00
Atoms (fractional coordinates):
Br1 0.5000 0.5000 0.5000
Tc1 0.0000 0.5000 0.0000
Pt1 0.0000 0.0000 0.0000
Li1 0.0000 0.0000 0.5000
Li2 0.5000 0.0000 0.0000

Output
Raw total energy: -4.104 eV per atom
Size of the total moment: 3.22 μB/cell
Formation energy without anion corrections: 1.388 eV/f.u.

***

(15)
Here is crystalline Ac8Y3Er2 at its relaxed geometry from the Alexandria database. Energies are from PBE.

Lattice parameters (Å, degrees): 6.5954 8.5348 10.1738 64.85 83.95 82.54
Atoms (fractional coordinates):
Ac1 0.2327 0.5364 0.0806
Ac2 0.7673 0.4636 0.9194
Ac3 0.1569 0.6930 0.3877
Ac4 0.8431 0.3070 0.6123
Ac5 0.0812 0.8483 0.6935
Ac6 0.3109 0.3719 0.7725
Ac7 0.6891 0.6281 0.2275
Ac8 0.9188 0.1517 0.3065
Y1 0.0000 0.0000 0.0000
Y2 0.4608 0.0735 0.1554
Y3 0.5392 0.9265 0.8446
Er1 0.6124 0.7797 0.5387
Er2 0.3876 0.2203 0.4613

Output
Energy of formation: 0.059 eV/atom
Raw total energy: -4.663 eV per atom
Size of the total moment: 0.00 μB/cell